(1)
Sn5S5Cl: optimized geometry, PBE-GGA.

The value obtained for the density of states at the Fermi level is 0.319 states/eV/atom. The calculated total energy comes out at -4.265 eV/atom. The volume is 26.88 A^3/atom. The value obtained for the uncorrected formation energy is -0.402 eV per atom.

The space group is C2/m (No. 12) and the conventional cell measures 12.933, 5.713 and 8.482 Å, with angles of 90.00, 109.35 and 90.00 degrees. The asymmetric unit holds Sn at (0.000, 0.000, 0.000), Sn at (0.161, 0.500, 0.369), Sn at (0.177, 0.500, 0.826), S at (0.000, 0.500, 0.500), S at (0.173, 0.000, 0.329), S at (0.173, 0.000, 0.857) and Cl at (0.000, 0.500, 0.000).

***

(2)
Y2MgB2: optimized geometry, PBE-GGA.

The value obtained for the density of states at the Fermi level is 0.470 states/eV/atom. The calculated formation energy is 518 meV/atom. The calculated total energy comes out at -5.058 eV/atom. The volume is 21.52 A^3/atom.

The space group is I4/mmm (No. 139) and the conventional cell measures 4.153, 4.153 and 12.476 Å, with angles of 90.00, 90.00 and 90.00 degrees. The asymmetric unit holds Y at (0.000, 0.000, 0.146), Mg at (0.000, 0.000, 0.500) and B at (0.000, 0.500, 0.250).

***

(3)
Rh3SI: optimized geometry, PBE-GGA.

The value obtained for the density of states at the Fermi level is 0.948 states/eV/atom. The calculated total energy comes out at -5.204 eV/atom. The volume is 18.24 A^3/atom. The value obtained for the uncorrected formation energy is 0.342 eV per atom.

The space group is Pm-3m (No. 221) and the conventional cell measures 4.501, 4.501 and 4.501 Å, with angles of 90.00, 90.00 and 90.00 degrees. The asymmetric unit holds Rh at (0.000, 0.000, 0.500), S at (0.000, 0.000, 0.000) and I at (0.500, 0.500, 0.500).

***

(4)
CrTc2Ni: optimized geometry, PBE-GGA.

The value obtained for the density of states at the Fermi level is 0.926 states/eV/atom. The calculated formation energy is 105 meV/atom. The calculated total energy comes out at -8.930 eV/atom. The volume is 13.09 A^3/atom.

The space group is P2/m (No. 10) and the conventional cell measures 2.568, 3.907 and 5.255 Å, with angles of 90.00, 96.67 and 90.00 degrees. The asymmetric unit holds Cr at (0.000, 0.000, 0.000), Tc at (0.423, 0.500, 0.251) and Ni at (0.000, 0.000, 0.500).

***

(5)
FeRu2I: optimized geometry, PBE-GGA.

The value obtained for the density of states at the Fermi level is 1.908 states/eV/atom. The calculated total energy comes out at -6.054 eV/atom. The volume is 21.40 A^3/atom. The value obtained for the uncorrected formation energy is 1.087 eV per atom.

The space group is I-42d (No. 122) and the conventional cell measures 5.541, 5.541 and 11.154 Å, with angles of 90.00, 90.00 and 90.00 degrees. The asymmetric unit holds Fe at (0.000, 0.000, 0.000), Ru at (0.192, 0.250, 0.125) and I at (0.000, 0.000, 0.500).

***

(6)
LiBi2Pd8: optimized geometry, PBE-GGA.

The value obtained for the density of states at the Fermi level is 0.572 states/eV/atom. The calculated formation energy is -135 meV/atom. The calculated total energy comes out at -4.791 eV/atom. The volume is 17.82 A^3/atom.

The space group is C2/m (No. 12) and the conventional cell measures 7.234, 12.890 and 4.648 Å, with angles of 90.00, 115.19 and 90.00 degrees. The asymmetric unit holds Li at (0.000, 0.000, 0.000), Bi at (0.000, 0.306, 0.500), Pd at (0.000, 0.197, 0.000), Pd at (0.112, 0.500, 0.816) and Pd at (0.207, 0.107, 0.628).

***

(7)
DyPu4Th: optimized geometry, PBE-GGA.

The value obtained for the density of states at the Fermi level is 4.226 states/eV/atom. The calculated formation energy is 208 meV/atom. The calculated total energy comes out at -11.351 eV/atom. The volume is 27.43 A^3/atom.

The space group is F-43m (No. 216) and the conventional cell measures 8.699, 8.699 and 8.699 Å, with angles of 90.00, 90.00 and 90.00 degrees. The asymmetric unit holds Dy at (0.000, 0.000, 0.000), Pu at (0.125, 0.125, 0.625) and Th at (0.250, 0.250, 0.250).

***

(8)
AcDy2MoN4: optimized geometry, PBE-GGA.

The value obtained for the density of states at the Fermi level is 0.309 states/eV/atom. The calculated total energy comes out at -8.305 eV/atom. The volume is 15.91 A^3/atom. The value obtained for the uncorrected formation energy is -1.125 eV per atom.

The space group is Cmcm (No. 63) and the conventional cell measures 3.498, 12.136 and 11.991 Å, with angles of 90.00, 90.00 and 90.00 degrees. The asymmetric unit holds Ac at (0.000, 0.083, 0.250), Dy at (0.000, 0.370, 0.041), Mo at (0.000, 0.176, 0.750), N at (0.000, 0.000, 0.000), N at (0.000, 0.262, 0.616) and N at (0.000, 0.422, 0.250).

***

(9)
Mn5Be2SiMo2: optimized geometry, PBE-GGA.

The value obtained for the density of states at the Fermi level is 0.573 states/eV/atom. The calculated total energy comes out at -8.126 eV/atom. The volume is 11.36 A^3/atom. The value obtained for the uncorrected formation energy is -0.088 eV per atom.

The space group is P4/mbm (No. 127) and the conventional cell measures 8.672, 8.672 and 3.021 Å, with angles of 90.00, 90.00 and 90.00 degrees. The asymmetric unit holds Mn at (0.000, 0.500, 0.000), Mn at (0.066, 0.206, 0.000), Be at (0.125, 0.375, 0.500), Si at (0.000, 0.000, 0.500) and Mo at (0.172, 0.672, 0.500).